Entry 1:
An optimized crystal structure of Sr2LiBi4Pd3, computed with GGA-PBE.

```
Sr2LiBi4Pd3
1.0
-1.652 -2.819 -3.514
-3.400 -1.676 2.943
-7.068 8.377 -3.395
Sr Pd Bi Li
2 3 4 1
direct
0.000 0.500 0.739
0.500 0.000 0.261
0.000 0.000 0.500
0.000 0.500 0.132
0.500 0.000 0.868
0.500 0.000 0.629
0.500 0.500 0.000
0.000 0.500 0.371
0.000 0.000 0.000
0.500 0.500 0.500
```

Properties
DFT formation energy   -0.61 eV/atom
Spin magnetization   0.0 μB/f.u.
D(E_F)   3.7 states/eV per cell
Space group   P-4m2
Total energy   -4.246 eV per atom

---

Entry 2:
An optimized crystal structure of Sr2LiBi3Pd4, computed with GGA-PBE.

```
Sr2LiBi3Pd4
1.0
4.747 0.000 0.000
0.000 4.747 0.000
0.000 0.000 10.943
Bi Pd Li Sr
3 4 1 2
direct
0.500 0.000 0.868
0.000 0.500 0.132
0.000 0.000 0.500
0.500 0.500 0.000
0.000 0.500 0.378
0.500 0.000 0.622
0.000 0.000 0.000
0.500 0.500 0.500
0.000 0.500 0.756
0.500 0.000 0.244
```

Properties
DFT formation energy   -0.61 eV/atom
Spin magnetization   0.0 μB/f.u.
D(E_F)   4.8 states/eV per cell
Space group   P-4m2
Total energy   -4.380 eV per atom

---

Entry 3:
An optimized crystal structure of SrLi2Bi2Pd2, computed with GGA-PBE.

```
SrLi2Bi2Pd2
1.0
-0.404 4.565 -0.644
-0.880 1.672 -4.225
-8.977 1.543 -0.055
Sr Li Bi Pd
1 2 2 2
direct
0.000 0.000 0.000
0.859 0.859 0.424
0.141 0.141 0.576
0.250 0.250 0.251
0.750 0.750 0.749
0.555 0.555 0.334
0.445 0.445 0.666
```

Properties
DFT formation energy   -0.57 eV/atom
Spin magnetization   0.0 μB/f.u.
D(E_F)   3.5 states/eV per cell
Space group   R-3m
Total energy   -3.945 eV per atom

---

Entry 4:
An optimized crystal structure of Sr2LiBiPd6, computed with GGA-PBE.

```
Sr2LiBiPd6
1.0
-2.263 -5.611 -3.319
5.996 -3.003 0.844
0.266 -6.470 2.844
Pd Sr Bi Li
6 2 1 1
direct
0.753 0.659 0.111
0.668 0.761 0.476
0.332 0.239 0.524
0.238 0.763 0.887
0.247 0.341 0.889
0.762 0.237 0.113
0.222 0.779 0.442
0.778 0.221 0.558
0.500 0.500 0.000
0.000 0.000 0.000
```

Properties
DFT formation energy   -0.36 eV/atom
Spin magnetization   0.0 μB/f.u.
D(E_F)   2.2 states/eV per cell
Space group   P-1
Total energy   -4.395 eV per atom

---

Entry 5:
An optimized crystal structure of LiTbBiPd, computed with GGA-PBE.

```
LiTbBiPd
1.0
-2.457 -4.139 1.002
0.851 -4.063 -2.635
2.337 -3.812 2.045
Pd Li Tb Bi
1 1 1 1
direct
0.750 0.750 0.750
0.250 0.250 0.250
0.500 0.500 0.500
0.000 0.000 0.000
```

Properties
DFT formation energy   -0.59 eV/atom
Spin magnetization   0.0 μB/f.u.
D(E_F)   2.2 states/eV per cell
Space group   F-43m
Total energy   -4.490 eV per atom

---

Entry 6:
An optimized crystal structure of LiThBiPd, computed with GGA-PBE.

```
LiThBiPd
1.0
-1.997 1.878 4.373
-4.864 -1.126 1.308
-0.939 -3.158 3.973
Pd Li Th Bi
1 1 1 1
direct
0.250 0.250 0.250
0.000 0.000 0.000
0.500 0.500 0.500
0.750 0.750 0.750
```

Properties
DFT formation energy   -0.46 eV/atom
Spin magnetization   0.0 μB/f.u.
D(E_F)   2.2 states/eV per cell
Space group   F-43m
Total energy   -5.060 eV per atom

---

Entry 7:
An optimized crystal structure of LiTlBi2Pd4, computed with GGA-PBE.

```
LiTlBi2Pd4
1.0
7.774 0.040 -0.495
0.035 7.774 -0.495
-4.238 -4.241 6.020
Tl Pd Li Bi
2 8 2 4
direct
0.500 0.500 0.500
0.000 0.000 0.000
0.201 0.704 0.953
0.776 0.724 0.995
0.799 0.296 0.047
0.224 0.276 0.495
0.204 0.701 0.453
0.776 0.724 0.505
0.224 0.276 0.005
0.796 0.299 0.547
0.000 0.500 0.000
0.000 0.500 0.500
0.500 0.500 0.000
0.000 0.000 0.500
0.500 0.000 0.000
0.500 0.000 0.500
```

Properties
DFT formation energy   -0.13 eV/atom
Spin magnetization   0.0 μB/f.u.
D(E_F)   4.4 states/eV per cell
Space group   Imma
Total energy   -4.230 eV per atom

---

Entry 8:
An optimized crystal structure of LiY2BiPd, computed with GGA-PBE.

```
LiY2BiPd
1.0
-3.083 -3.023 3.223
-0.791 -3.505 -4.045
4.348 -2.776 1.555
Pd Bi Y Li
1 1 2 1
direct
0.000 0.000 0.000
0.000 0.500 0.000
0.500 0.000 0.000
0.000 0.000 0.500
0.500 0.500 0.500
```

Properties
DFT formation energy   -0.12 eV/atom
Spin magnetization   0.0 μB/f.u.
D(E_F)   3.6 states/eV per cell
Space group   P4/mmm
Total energy   -4.902 eV per atom

---

Entry 9:
An optimized crystal structure of LiYBiPd, computed with GGA-PBE.

```
LiYBiPd
1.0
-0.740 -3.305 -3.565
3.561 -0.941 -3.258
2.362 -4.311 0.115
Li Pd Y Bi
1 1 1 1
direct
0.000 0.000 0.000
0.500 0.500 0.500
0.750 0.750 0.750
0.250 0.250 0.250
```

Properties
DFT formation energy   -0.58 eV/atom
Spin magnetization   0.0 μB/f.u.
D(E_F)   2.2 states/eV per cell
Space group   F-43m
Total energy   -4.945 eV per atom

---

Entry 10:
An optimized crystal structure of LiZrBiPd, computed with GGA-PBE.

```
LiZrBiPd
1.0
-2.755 3.455 1.984
-4.746 -0.744 0.617
-1.798 -0.598 4.457
Li Pd Zr Bi
1 1 1 1
direct
0.000 0.000 0.000
0.250 0.250 0.250
0.500 0.500 0.500
0.750 0.750 0.750
```

Properties
DFT formation energy   -0.39 eV/atom
Spin magnetization   0.0 μB/f.u.
D(E_F)   2.3 states/eV per cell
Space group   F-43m
Total energy   -5.278 eV per atom

---

Entry 11:
An optimized crystal structure of LiPmBi, computed with GGA-PBE.

```
LiPmBi
1.0
-0.911 2.480 -3.384
-1.539 -3.419 -2.091
-2.921 1.286 4.453
Bi Li Pm
1 1 1
direct
0.628 0.628 0.257
0.941 0.941 0.883
0.280 0.280 0.560
```

Properties
DFT formation energy   -0.39 eV/atom
Spin magnetization   0.3 μB/f.u.
D(E_F)   2.3 states/eV per cell
Polymorph energy (0 for the lowest one)   291.6 meV per atom
Space group   I4mm
Total energy   -3.902 eV per atom

---

Entry 12:
An optimized crystal structure of LiPm2Bi, computed with GGA-PBE.

```
LiPm2Bi
1.0
6.990 0.000 0.000
3.495 5.725 -0.075
3.495 1.053 5.627
Pm Bi Li
4 2 2
direct
0.774 0.726 0.226
0.726 0.274 0.774
0.226 0.274 0.774
0.274 0.726 0.226
0.750 0.790 0.710
0.250 0.210 0.290
0.750 0.207 0.293
0.250 0.793 0.707
```

Properties
DFT formation energy   -0.43 eV/atom
Spin magnetization   0.0 μB/f.u.
D(E_F)   6.6 states/eV per cell
Polymorph energy (0 for the lowest one)   0.0 meV per atom
Space group   Imma
Total energy   -4.258 eV per atom